Entry 1:
A relaxed structure of Hg4SIBr2. Source: the Alexandria database, functional GGA-PBE.

Cell and atoms, written as POSCAR:
```
Hg4SIBr2
1.0
7.524 0.000 0.000
0.000 8.709 0.000
0.000 0.000 8.928
S I Hg Br
2 2 8 4
Direct
0.542 0.807 0.500
0.042 0.193 0.000
0.042 0.190 0.500
0.542 0.810 0.000
0.334 0.545 0.663
0.869 0.960 0.000
0.834 0.455 0.837
0.834 0.455 0.163
0.334 0.545 0.337
0.333 0.077 0.000
0.833 0.923 0.500
0.369 0.040 0.500
0.023 0.778 0.249
0.023 0.778 0.751
0.523 0.222 0.749
0.523 0.222 0.251
```

Values from the calculation:
* calculated volume: 36.563 Å³/atom
* ΔE_f (raw): -124.7 meV per atom
* density: 6.36 Mg/m³
* density of states at the Fermi level: 0.65 states/eV/atom
* total magnetization: 0.0 μB per formula unit
* total energy: -1.40 eV/atom



Entry 2:
A relaxed structure of Hg4SI2Br. Source: the Alexandria database, functional GGA-PBE.

Cell and atoms, written as POSCAR:
```
Hg4SI2Br
1.0
-1.255 2.447 6.292
-2.463 -9.363 3.150
8.360 -1.448 2.231
S I Hg Br
2 4 8 2
Direct
0.969 0.096 0.000
0.469 0.904 0.500
0.452 0.312 0.764
0.452 0.312 0.236
0.952 0.688 0.736
0.952 0.688 0.264
0.443 0.649 0.330
0.329 0.105 0.000
0.422 0.140 0.500
0.829 0.895 0.500
0.943 0.351 0.170
0.943 0.351 0.830
0.922 0.860 0.000
0.443 0.649 0.670
0.490 0.866 0.000
0.990 0.134 0.500
```

Values from the calculation:
* calculated volume: 38.332 Å³/atom
* ΔE_f (raw): -90.6 meV per atom
* density: 6.33 Mg/m³
* density of states at the Fermi level: 0.32 states/eV/atom
* total magnetization: 0.0 μB per formula unit
* total energy: -1.35 eV/atom



Entry 3:
A relaxed structure of Hg2SIBr. Source: the Alexandria database, functional GGA-PBE.

Cell and atoms, written as POSCAR:
```
Hg2SIBr
1.0
-3.984 -1.530 -0.765
3.580 0.073 -6.506
2.576 -10.217 7.024
Hg Br S I
4 2 2 2
Direct
0.847 0.694 0.150
0.544 0.088 0.370
0.153 0.306 0.850
0.456 0.912 0.630
0.654 0.307 0.050
0.346 0.693 0.950
0.970 0.941 0.745
0.030 0.059 0.255
0.671 0.341 0.610
0.329 0.659 0.390
```

Values from the calculation:
* calculated volume: 35.502 Å³/atom
* ΔE_f (raw): -255.8 meV per atom
* density: 5.99 Mg/m³
* total magnetization: 0.0 μB per formula unit
* total energy: -1.85 eV/atom



Q: The lowest ΔE_f (raw) belongs to which entry?
A: Hg2SIBr